Record 1
## CdIr2Os (PBE)

Data for crystalline CdIr2Os at its relaxed geometry.

Calculated values
DFT formation energy = 0.3415 eV/atom
final energy = -7.13 eV per atom
SG = No. 25

Unit cell a=2.764 b=3.860 c=5.964 alpha=90.00 beta=90.00 gamma=90.00
Positions (direct):
Cd: 0.000 0.000 0.000
Ir: 0.000 0.000 0.508
Ir: 0.500 0.500 0.268
Os: 0.500 0.500 0.710

Record 2
## TaCd2Co (PBE)

Data for crystalline TaCd2Co at its relaxed geometry.

Calculated values
DFT formation energy = 0.8000 eV/atom
energy above the most stable polymorph in this dataset = 0.728 eV/atom
final energy = -4.40 eV per atom
SG = No. 122

Unit cell a=5.962 b=5.962 c=5.962 alpha=100.83 beta=100.83 gamma=128.62
Positions (direct):
Ta: 0.000 0.000 0.000
Ta: 0.750 0.250 0.500
Cd: 0.166 0.125 0.541
Cd: 0.375 0.834 0.959
Cd: 0.584 0.625 0.459
Cd: 0.875 0.416 0.041
Co: 0.250 0.750 0.500
Co: 0.500 0.500 0.000

Record 3
## La3Ho3PuSe8 (PBE)

Data for crystalline La3Ho3PuSe8 at its relaxed geometry.

Calculated values
final energy = -6.57 eV per atom
SG = No. 166

Unit cell a=8.413 b=8.413 c=8.413 alpha=58.95 beta=58.95 gamma=58.95
Positions (direct):
La: 0.000 0.500 0.500
La: 0.500 0.000 0.500
La: 0.500 0.500 0.000
Ho: 0.000 0.000 0.500
Ho: 0.000 0.500 0.000
Ho: 0.500 0.000 0.000
Pu: 0.500 0.500 0.500
Se: 0.235 0.751 0.751
Se: 0.244 0.244 0.244
Se: 0.249 0.249 0.765
Se: 0.249 0.765 0.249
Se: 0.751 0.235 0.751
Se: 0.751 0.751 0.235
Se: 0.756 0.756 0.756
Se: 0.765 0.249 0.249

Record 4
## TaTl3Co2Se6 (PBE)

Data for crystalline TaTl3Co2Se6 at its relaxed geometry.

Calculated values
final energy = -4.86 eV per atom
SG = No. 12

Unit cell a=6.110 b=6.110 c=8.853 alpha=96.55 beta=96.55 gamma=120.06
Positions (direct):
Ta: 0.000 0.000 0.000
Tl: 0.168 0.832 0.500
Tl: 0.500 0.500 0.500
Tl: 0.832 0.168 0.500
Co: 0.334 0.666 0.000
Co: 0.666 0.334 0.000
Se: 0.054 0.411 0.164
Se: 0.302 0.302 0.836
Se: 0.411 0.054 0.164
Se: 0.589 0.946 0.836
Se: 0.698 0.698 0.164
Se: 0.946 0.589 0.836

Record 5
## Sm12Dy3Y (PBE)

Data for crystalline Sm12Dy3Y at its relaxed geometry.

Calculated values
DFT formation energy = 0.0160 eV/atom
final energy = -4.79 eV per atom
SG = No. 123

Unit cell a=5.104 b=5.104 c=20.403 alpha=90.00 beta=90.00 gamma=90.00
Positions (direct):
Sm: 0.000 0.000 0.000
Sm: 0.000 0.000 0.250
Sm: 0.000 0.000 0.500
Sm: 0.000 0.000 0.750
Sm: 0.000 0.500 0.125
Sm: 0.000 0.500 0.374
Sm: 0.000 0.500 0.626
Sm: 0.000 0.500 0.875
Sm: 0.500 0.000 0.125
Sm: 0.500 0.000 0.374
Sm: 0.500 0.000 0.626
Sm: 0.500 0.000 0.875
Dy: 0.500 0.500 0.000
Dy: 0.500 0.500 0.250
Dy: 0.500 0.500 0.750
Y: 0.500 0.500 0.500

Record 6
## Lu2CdRe (PBE)

Data for crystalline Lu2CdRe at its relaxed geometry.

Calculated values
DFT formation energy = -0.1275 eV/atom
final energy = -5.73 eV per atom
SG = No. 123

Unit cell a=3.428 b=3.428 c=7.555 alpha=90.00 beta=90.00 gamma=90.00
Positions (direct):
Lu: 0.000 0.000 0.213
Lu: 0.000 0.000 0.787
Cd: 0.500 0.500 0.500
Re: 0.500 0.500 0.000

Record 7
## Cs10Mo6N15 (PBE)

Data for crystalline Cs10Mo6N15 at its relaxed geometry.

Calculated values
final energy = -6.83 eV per atom
SG = No. 167

Unit cell a=12.311 b=12.311 c=12.311 alpha=65.58 beta=65.58 gamma=65.58
Positions (direct):
Cs: 0.000 0.000 0.000
Cs: 0.057 0.327 0.942
Cs: 0.058 0.943 0.673
Cs: 0.076 0.250 0.424
Cs: 0.173 0.443 0.558
Cs: 0.250 0.424 0.076
Cs: 0.327 0.942 0.057
Cs: 0.424 0.076 0.250
Cs: 0.442 0.827 0.557
Cs: 0.443 0.558 0.173
Cs: 0.500 0.500 0.500
Cs: 0.557 0.442 0.827
Cs: 0.558 0.173 0.443
Cs: 0.576 0.924 0.750
Cs: 0.673 0.058 0.943
Cs: 0.750 0.576 0.924
Cs: 0.827 0.557 0.442
Cs: 0.924 0.750 0.576
Cs: 0.942 0.057 0.327
Cs: 0.943 0.673 0.058
Mo: 0.101 0.706 0.245
Mo: 0.206 0.601 0.745
Mo: 0.245 0.101 0.706
Mo: 0.255 0.794 0.399
Mo: 0.294 0.755 0.899
Mo: 0.399 0.255 0.794
Mo: 0.601 0.745 0.206
Mo: 0.706 0.245 0.101
Mo: 0.745 0.206 0.601
Mo: 0.755 0.899 0.294
Mo: 0.794 0.399 0.255
Mo: 0.899 0.294 0.755
N: 0.045 0.608 0.810
N: 0.071 0.195 0.736
N: 0.108 0.545 0.310
N: 0.172 0.750 0.328
N: 0.190 0.955 0.392
N: 0.195 0.736 0.071
N: 0.236 0.695 0.571
N: 0.250 0.672 0.828
N: 0.264 0.929 0.805
N: 0.305 0.429 0.764
N: 0.310 0.108 0.545
N: 0.328 0.172 0.750
N: 0.392 0.190 0.955
N: 0.429 0.764 0.305
N: 0.455 0.690 0.892
N: 0.545 0.310 0.108
N: 0.571 0.236 0.695
N: 0.608 0.810 0.045
N: 0.672 0.828 0.250
N: 0.690 0.892 0.455
N: 0.695 0.571 0.236
N: 0.736 0.071 0.195
N: 0.750 0.328 0.172
N: 0.764 0.305 0.429
N: 0.805 0.264 0.929
N: 0.810 0.045 0.608
N: 0.828 0.250 0.672
N: 0.892 0.455 0.690
N: 0.929 0.805 0.264
N: 0.955 0.392 0.190

Record 8
## BaTcOs (PBE)

Data for crystalline BaTcOs at its relaxed geometry.

Calculated values
DFT formation energy = 0.3666 eV/atom
energy above the most stable polymorph in this dataset = 0.000 eV/atom
final energy = -7.47 eV per atom
SG = No. 6

Unit cell a=4.506 b=4.386 c=8.418 alpha=90.00 beta=92.39 gamma=90.00
Positions (direct):
Ba: 0.000 0.000 0.000
Ba: 0.489 0.500 0.644
Tc: 0.042 0.500 0.322
Tc: 0.923 0.000 0.453
Os: 0.446 0.000 0.317
Os: 0.564 0.500 0.191

Record 9
## Rb3PrDy2O6 (PBE)

Data for crystalline Rb3PrDy2O6 at its relaxed geometry.

Calculated values
final energy = -6.52 eV per atom
SG = No. 12

Unit cell a=6.196 b=6.196 c=6.899 alpha=98.60 beta=98.60 gamma=120.01
Positions (direct):
Rb: 0.000 0.000 0.000
Rb: 0.332 0.668 0.000
Rb: 0.668 0.332 0.000
Pr: 0.500 0.500 0.500
Dy: 0.167 0.833 0.500
Dy: 0.833 0.167 0.500
O: 0.095 0.441 0.323
O: 0.213 0.213 0.677
O: 0.441 0.095 0.323
O: 0.559 0.905 0.677
O: 0.787 0.787 0.323
O: 0.905 0.559 0.677

Record 10
## Ca2MgCrOs (PBE)

Data for crystalline Ca2MgCrOs at its relaxed geometry.

Calculated values
DFT formation energy = 1.4766 eV/atom
final energy = -3.81 eV per atom
SG = No. 123

Unit cell a=5.311 b=5.311 c=4.956 alpha=90.00 beta=90.00 gamma=90.00
Positions (direct):
Ca: 0.000 0.500 0.000
Ca: 0.500 0.000 0.000
Mg: 0.000 0.000 0.500
Cr: 0.000 0.000 0.000
Os: 0.500 0.500 0.500

Record 11
## YEr3Sn2 (PBE)

Data for crystalline YEr3Sn2 at its relaxed geometry.

Calculated values
DFT formation energy = -0.4898 eV/atom
final energy = -5.18 eV per atom
SG = No. 12

Unit cell a=9.179 b=9.179 c=9.465 alpha=112.77 beta=112.77 gamma=28.41
Positions (direct):
Y: 0.114 0.114 0.126
Y: 0.886 0.886 0.874
Er: 0.056 0.056 0.689
Er: 0.308 0.308 0.109
Er: 0.354 0.354 0.516
Er: 0.646 0.646 0.484
Er: 0.692 0.692 0.891
Er: 0.944 0.944 0.311
Sn: 0.246 0.246 0.718
Sn: 0.493 0.493 0.149
Sn: 0.507 0.507 0.851
Sn: 0.754 0.754 0.282

Record 12
## Ho6Tl2Bi (PBE)

Data for crystalline Ho6Tl2Bi at its relaxed geometry.

Calculated values
DFT formation energy = -0.3326 eV/atom
final energy = -4.34 eV per atom
SG = No. 189

Unit cell a=8.595 b=8.595 c=4.097 alpha=90.00 beta=90.00 gamma=120.00
Positions (direct):
Ho: 0.000 0.392 0.000
Ho: 0.000 0.721 0.500
Ho: 0.279 0.279 0.500
Ho: 0.392 0.000 0.000
Ho: 0.608 0.608 0.000
Ho: 0.721 0.000 0.500
Tl: 0.333 0.667 0.500
Tl: 0.667 0.333 0.500
Bi: 0.000 0.000 0.000